(1)
The following is a DFT calculation (PBE-GGA) of a relaxed structure of CaV2Ru2.

abc: 6.097 6.097 6.097
angles: 140.62 140.62 56.92
Fractional coordinates of all 5 atoms:
1 Ca 0.000 0.000 0.000
2 V 0.250 0.750 0.500
3 V 0.750 0.250 0.500
4 Ru 0.374 0.374 0.000
5 Ru 0.626 0.626 0.000

## Properties
ΔE_f	-0.40	eV/f.u.
distance to the lowest polymorph of the same formula	0	meV/atom
crystal system	tetragonal

=====

(2)
The following is a DFT calculation (PBE-GGA) of a relaxed structure of Ge2PbAu8.

abc: 7.855 7.855 4.927
angles: 94.17 94.17 127.01
Fractional coordinates of all 11 atoms:
1 Ge 0.239 0.761 0.000
2 Ge 0.761 0.239 0.000
3 Pb 0.500 0.500 0.500
4 Au 0.088 0.088 0.273
5 Au 0.183 0.817 0.500
6 Au 0.184 0.400 0.922
7 Au 0.400 0.184 0.922
8 Au 0.600 0.816 0.078
9 Au 0.816 0.600 0.078
10 Au 0.817 0.183 0.500
11 Au 0.912 0.912 0.727

## Properties
ΔE_f	0.89	eV/f.u.
crystal system	monoclinic

=====

(3)
The following is a DFT calculation (PBE-GGA) of a relaxed structure of La2CeTm3As6.

abc: 9.366 9.366 8.383
angles: 102.68 102.68 25.93
Fractional coordinates of all 12 atoms:
1 La 0.167 0.167 0.334
2 La 0.833 0.833 0.666
3 Ce 0.500 0.500 0.000
4 Tm 0.167 0.167 0.834
5 Tm 0.500 0.500 0.500
6 Tm 0.833 0.833 0.166
7 As 0.004 0.004 0.748
8 As 0.332 0.332 0.928
9 As 0.337 0.337 0.407
10 As 0.663 0.663 0.593
11 As 0.668 0.668 0.072
12 As 0.996 0.996 0.252

## Properties
ΔE_f	-18.05	eV/f.u.
crystal system	monoclinic

=====

(4)
The following is a DFT calculation (PBE-GGA) of a relaxed structure of NaAcMgAg.

abc: 5.413 5.413 5.413
angles: 60.00 60.00 60.00
Fractional coordinates of all 4 atoms:
1 Na 0.000 0.000 0.000
2 Ac 0.250 0.250 0.250
3 Mg 0.750 0.750 0.750
4 Ag 0.500 0.500 0.500

## Properties
ΔE_f	-0.01	eV/f.u.
crystal system	cubic

=====

(5)
The following is a DFT calculation (PBE-GGA) of a relaxed structure of AgTeSe.

abc: 6.526 6.526 6.526
angles: 146.58 145.16 49.05
Fractional coordinates of all 3 atoms:
1 Ag 0.000 0.000 0.000
2 Te 0.251 0.251 0.000
3 Se 0.467 0.467 0.000

## Properties
distance to the lowest polymorph of the same formula	154	meV/atom
formation energy from raw total energies	0.131	eV/atom
crystal system	orthorhombic

=====

(6)
The following is a DFT calculation (PBE-GGA) of a relaxed structure of Nd4RhPb2.

abc: 9.358 9.358 9.358
angles: 147.50 147.50 46.62
Fractional coordinates of all 7 atoms:
1 Nd 0.000 0.500 0.500
2 Nd 0.177 0.177 0.000
3 Nd 0.500 0.000 0.500
4 Nd 0.823 0.823 0.000
5 Rh 0.000 0.000 0.000
6 Pb 0.363 0.363 0.000
7 Pb 0.637 0.637 0.000

## Properties
ΔE_f	-2.81	eV/f.u.
distance to the lowest polymorph of the same formula	83	meV/atom
crystal system	tetragonal

=====

Computed magnetization, in the same sequence as the records: 0.00; 0.00; 0.58; 0.00; 0.00; 0.00 μB/f.u..
Computed calculated volume, in the same sequence as the records: 18.10; 21.77; 26.10; 28.04; 29.02; 33.67 Å³/atom.